1.
The following is a SCAN calculation of TaBeF2 at its PBEsol-relaxed geometry, from Alexandria.

## Properties
* size of the total moment: 0.0 μB/f.u.
* formation energy without anion corrections: -1.19 eV/atom
* SG: R-3m (166)
* E: -20.69 eV per atom

a b c (Å): 8.033 8.033 8.033
angles (deg): 19.56 19.56 19.56
Sites, in units of the cell vectors:
Ta: 0.000 0.000 0.000
Be: 0.500 0.500 0.500
F: 0.399 0.399 0.399
F: 0.601 0.601 0.601


2.
The following is a SCAN calculation of TaBeTcF2 at its PBEsol-relaxed geometry, from Alexandria.

## Properties
* size of the total moment: 0.0 μB/f.u.
* formation energy without anion corrections: -0.61 eV/atom
* SG: P4/mmm (123)
* E: -23.22 eV per atom

a b c (Å): 3.872 3.872 5.077
angles (deg): 90.00 90.00 90.00
Sites, in units of the cell vectors:
Ta: 0.000 0.000 0.000
Be: 0.500 0.500 0.500
Tc: 0.000 0.000 0.500
F: 0.000 0.500 0.000
F: 0.500 0.000 0.000


3.
The following is a SCAN calculation of BeTeF2 at its PBEsol-relaxed geometry, from Alexandria.

## Properties
* size of the total moment: 0.0 μB/f.u.
* formation energy without anion corrections: -2.02 eV/atom
* SG: R-3m (166)
* E: -14.19 eV per atom

a b c (Å): 9.372 9.372 9.372
angles (deg): 17.72 17.72 17.72
Sites, in units of the cell vectors:
Be: 0.000 0.000 0.000
Te: 0.500 0.500 0.500
F: 0.363 0.363 0.363
F: 0.637 0.637 0.637